Record 1
Li2Ac3Tl4In2: relaxed, PBE-GGA.

Geometry as POSCAR:
```
Li2Ac3Tl4In2
1.0
-2.470 -4.307 -1.066
4.712 -0.175 1.886
-5.729 -0.252 14.294
Li Ac Tl In
2 3 4 2
Direct
0.667 0.333 0.434 Li
0.333 0.667 0.566 Li
0.000 0.000 0.712 Ac
0.000 0.000 0.000 Ac
0.000 0.000 0.288 Ac
0.667 0.333 0.115 Tl
0.333 0.667 0.885 Tl
0.667 0.333 0.606 Tl
0.333 0.667 0.394 Tl
0.667 0.333 0.830 In
0.333 0.667 0.170 In
```

Calculated values
The value obtained for the magnetic moment is 0.00 μB per cell. For the formation energy, the calculation gives -0.253 eV/atom.


Record 2
Li4AcTlIn2: relaxed, PBE-GGA.

Geometry as POSCAR:
```
Li4AcTlIn2
1.0
4.846 0.000 0.000
2.423 4.196 0.000
2.423 1.399 9.295
Li Ac Tl In
4 1 1 2
Direct
0.405 0.405 0.786 Li
0.868 0.868 0.396 Li
0.132 0.132 0.604 Li
0.595 0.595 0.214 Li
0.000 0.000 0.000 Ac
0.500 0.500 0.500 Tl
0.749 0.749 0.754 In
0.251 0.251 0.246 In
```

Calculated values
The value obtained for the magnetic moment is 0.00 μB per cell. For the formation energy, the calculation gives -0.242 eV/atom.